(1)
The following is a SCAN calculation of P4Os at its PBEsol-relaxed geometry, from the Alexandria database.

Cell lengths 4.707, 7.144, 7.531 Å; angles 111.32, 90.36, 100.32 degrees
Positions (direct):
P 0.099 0.367 0.399
P 0.108 0.831 0.270
P 0.159 0.087 0.939
P 0.229 0.573 0.048
P 0.297 0.297 0.624
P 0.324 0.838 0.714
P 0.676 0.162 0.286
P 0.703 0.703 0.376
P 0.771 0.427 0.952
P 0.841 0.913 0.061
P 0.892 0.169 0.730
P 0.901 0.633 0.601
Os 0.441 0.372 0.172
Os 0.500 0.000 0.500
Os 0.559 0.628 0.828

Formation enthalpy at 0 K ... -481 meV per atom
ΔE to the lowest computed polymorph ... 0 meV per atom



(2)
The following is a SCAN calculation of HfZn2Co at its PBEsol-relaxed geometry, from the Alexandria database.

Cell lengths 4.292, 4.292, 4.292 Å; angles 60.00, 60.00, 60.00 degrees
Positions (direct):
Hf 0.000 0.000 0.000
Zn 0.250 0.250 0.250
Zn 0.750 0.750 0.750
Co 0.500 0.500 0.500

Formation enthalpy at 0 K ... -73 meV per atom



(3)
The following is a SCAN calculation of Sr2AlAs at its PBEsol-relaxed geometry, from the Alexandria database.

Cell lengths 5.415, 5.415, 5.415 Å; angles 60.00, 60.00, 60.00 degrees
Positions (direct):
Sr 0.250 0.250 0.250
Sr 0.750 0.750 0.750
Al 0.000 0.000 0.000
As 0.500 0.500 0.500

Formation enthalpy at 0 K ... -437 meV per atom
ΔE to the lowest computed polymorph ... 10 meV per atom



(4)
The following is a SCAN calculation of NaHg3As at its PBEsol-relaxed geometry, from the Alexandria database.

Cell lengths 5.289, 5.289, 5.289 Å; angles 90.00, 90.00, 90.00 degrees
Positions (direct):
Na 0.000 0.000 0.000
Hg 0.000 0.500 0.500
Hg 0.500 0.000 0.500
Hg 0.500 0.500 0.000
As 0.500 0.500 0.500

Formation enthalpy at 0 K ... 76 meV per atom



(5)
The following is a SCAN calculation of P2PdC at its PBEsol-relaxed geometry, from the Alexandria database.

Cell lengths 5.498, 5.498, 5.498 Å; angles 124.58, 124.58, 82.24 degrees
Positions (direct):
P 0.061 0.625 0.936
P 0.375 0.311 0.436
P 0.689 0.125 0.064
P 0.875 0.939 0.564
Pd 0.250 0.750 0.500
Pd 0.500 0.500 0.000
C 0.000 0.000 0.000
C 0.750 0.250 0.500

Formation enthalpy at 0 K ... 157 meV per atom



(6)
The following is a SCAN calculation of Cu2P8Se3I2 at its PBEsol-relaxed geometry, from the Alexandria database.

Cell lengths 9.110, 12.199, 13.720 Å; angles 90.00, 90.00, 90.00 degrees
Positions (direct):
Cu 0.008 0.122 0.250
Cu 0.008 0.378 0.750
Cu 0.186 0.574 0.750
Cu 0.186 0.926 0.250
Cu 0.814 0.074 0.750
Cu 0.814 0.426 0.250
Cu 0.992 0.622 0.250
Cu 0.992 0.878 0.750
P 0.066 0.694 0.109
P 0.066 0.694 0.391
P 0.066 0.806 0.609
P 0.066 0.806 0.891
P 0.175 0.567 0.021
P 0.175 0.567 0.479
P 0.175 0.933 0.521
P 0.175 0.933 0.979
P 0.226 0.665 0.613
P 0.226 0.665 0.887
P 0.226 0.835 0.113
P 0.226 0.835 0.387
P 0.442 0.743 0.580
P 0.442 0.743 0.920
P 0.442 0.757 0.080
P 0.442 0.757 0.420
P 0.558 0.243 0.580
P 0.558 0.243 0.920
P 0.558 0.257 0.080
P 0.558 0.257 0.420
P 0.774 0.165 0.613
P 0.774 0.165 0.887
P 0.774 0.335 0.113
P 0.774 0.335 0.387
P 0.825 0.067 0.021
P 0.825 0.067 0.479
P 0.825 0.433 0.521
P 0.825 0.433 0.979
P 0.934 0.194 0.109
P 0.934 0.194 0.391
P 0.934 0.306 0.609
P 0.934 0.306 0.891
Se 0.105 0.250 0.000
Se 0.105 0.250 0.500
Se 0.389 0.578 0.109
Se 0.389 0.578 0.391
Se 0.389 0.922 0.609
Se 0.389 0.922 0.891
Se 0.611 0.078 0.109
Se 0.611 0.078 0.391
Se 0.611 0.422 0.609
Se 0.611 0.422 0.891
Se 0.895 0.750 0.000
Se 0.895 0.750 0.500
I 0.102 0.076 0.750
I 0.102 0.424 0.250
I 0.293 0.120 0.250
I 0.293 0.380 0.750
I 0.707 0.620 0.250
I 0.707 0.880 0.750
I 0.898 0.576 0.750
I 0.898 0.924 0.250

Total DFT energy (no corrections) ... -998.005 eV/cell



(7)
The following is a SCAN calculation of CoNiPS2 at its PBEsol-relaxed geometry, from the Alexandria database.

Cell lengths 4.407, 4.407, 4.074 Å; angles 90.00, 90.00, 90.00 degrees
Positions (direct):
Co 0.000 0.000 0.000
Ni 0.500 0.500 0.500
P 0.000 0.000 0.500
S 0.000 0.500 0.000
S 0.500 0.000 0.000

Total DFT energy (no corrections) ... -59.046 eV/cell



(8)
The following is a SCAN calculation of MgIn2 at its PBEsol-relaxed geometry, from the Alexandria database.

Cell lengths 3.384, 5.194, 8.310 Å; angles 90.00, 100.36, 90.00 degrees
Positions (direct):
Mg 0.000 0.000 0.000
Mg 0.339 0.000 0.664
In 0.120 0.500 0.228
In 0.454 0.500 0.895
In 0.670 0.000 0.332
In 0.792 0.500 0.566

Formation enthalpy at 0 K ... -44 meV per atom



(9)
The following is a SCAN calculation of MgIn2Rh at its PBEsol-relaxed geometry, from the Alexandria database.

Cell lengths 5.024, 5.024, 5.024 Å; angles 130.44, 130.44, 72.71 degrees
Positions (direct):
Mg 0.000 0.000 0.000
In 0.250 0.750 0.500
In 0.750 0.250 0.500
Rh 0.500 0.500 0.000

Formation enthalpy at 0 K ... -335 meV per atom



(10)
The following is a SCAN calculation of RbTaMn2Fe at its PBEsol-relaxed geometry, from the Alexandria database.

Cell lengths 4.459, 4.459, 4.672 Å; angles 90.00, 90.00, 90.00 degrees
Positions (direct):
Rb 0.000 0.000 0.000
Ta 0.500 0.500 0.000
Mn 0.000 0.500 0.500
Mn 0.500 0.000 0.500
Fe 0.000 0.000 0.500

Formation enthalpy at 0 K ... 1920 meV per atom



(11)
The following is a SCAN calculation of Fe2PtCl at its PBEsol-relaxed geometry, from the Alexandria database.

Cell lengths 2.752, 2.752, 8.616 Å; angles 90.00, 90.00, 116.62 degrees
Positions (direct):
Fe 0.000 0.000 0.000
Fe 0.500 0.500 0.218
Pt 0.000 0.000 0.458
Cl 0.500 0.500 0.792

ΔE to the lowest computed polymorph ... 342 meV per atom



(12)
The following is a SCAN calculation of SnTeAuI2 at its PBEsol-relaxed geometry, from the Alexandria database.

Cell lengths 5.445, 5.445, 5.502 Å; angles 90.00, 90.00, 90.00 degrees
Positions (direct):
Sn 0.000 0.000 0.000
Te 0.500 0.500 0.000
Au 0.500 0.500 0.500
I 0.000 0.500 0.500
I 0.500 0.000 0.500

ΔE to the lowest computed polymorph ... 0 meV per atom



(13)
The following is a SCAN calculation of InGaN2 at its PBEsol-relaxed geometry, from the Alexandria database.

Cell lengths 3.354, 3.354, 5.500 Å; angles 90.00, 90.00, 120.00 degrees
Positions (direct):
In 0.000 0.000 0.000
Ga 0.333 0.667 0.501
N 0.000 0.000 0.395
N 0.333 0.667 0.851

Total DFT energy (no corrections) ... -69.392 eV/cell



(14)
The following is a SCAN calculation of LaFeRu2 at its PBEsol-relaxed geometry, from the Alexandria database.

Cell lengths 5.460, 5.460, 5.460 Å; angles 147.62, 129.21, 61.53 degrees
Positions (direct):
La 0.000 0.000 0.000
Fe 0.725 0.225 0.500
Ru 0.272 0.772 0.500
Ru 0.508 0.508 0.000

Formation enthalpy at 0 K ... 382 meV per atom
ΔE to the lowest computed polymorph ... 133 meV per atom



(15)
The following is a SCAN calculation of Ca3YPb at its PBEsol-relaxed geometry, from the Alexandria database.

Cell lengths 5.898, 5.898, 5.898 Å; angles 90.00, 90.00, 90.00 degrees
Positions (direct):
Ca 0.000 0.000 0.500
Ca 0.000 0.500 0.000
Ca 0.500 0.000 0.000
Y 0.500 0.500 0.500
Pb 0.000 0.000 0.000

Formation enthalpy at 0 K ... 45 meV per atom



(16)
The following is a SCAN calculation of CuRu at its PBEsol-relaxed geometry, from the Alexandria database.

Cell lengths 5.119, 5.119, 3.894 Å; angles 90.00, 90.00, 150.53 degrees
Positions (direct):
Cu 0.060 0.940 0.750
Cu 0.940 0.060 0.250
Ru 0.310 0.690 0.750
Ru 0.690 0.310 0.250

Formation enthalpy at 0 K ... 270 meV per atom



(17)
The following is a SCAN calculation of KPbW at its PBEsol-relaxed geometry, from the Alexandria database.

Cell lengths 8.524, 8.369, 2.998 Å; angles 82.72, 76.87, 20.42 degrees
Positions (direct):
K 0.000 0.000 0.000
Pb 0.313 0.313 0.687
W 0.675 0.675 0.325

Formation enthalpy at 0 K ... 1039 meV per atom
ΔE to the lowest computed polymorph ... 0 meV per atom



(18)
The following is a SCAN calculation of MgZn3 at its PBEsol-relaxed geometry, from the Alexandria database.

Cell lengths 5.227, 8.529, 5.666 Å; angles 90.00, 90.00, 90.00 degrees
Positions (direct):
Mg 0.052 0.250 0.089
Mg 0.448 0.750 0.589
Mg 0.552 0.250 0.411
Mg 0.948 0.750 0.911
Zn 0.077 0.250 0.596
Zn 0.203 0.508 0.336
Zn 0.203 0.992 0.336
Zn 0.297 0.008 0.836
Zn 0.297 0.492 0.836
Zn 0.423 0.750 0.096
Zn 0.577 0.250 0.904
Zn 0.703 0.508 0.164
Zn 0.703 0.992 0.164
Zn 0.797 0.008 0.664
Zn 0.797 0.492 0.664
Zn 0.923 0.750 0.404

Formation enthalpy at 0 K ... -39 meV per atom



(19)
The following is a SCAN calculation of K2BHI at its PBEsol-relaxed geometry, from the Alexandria database.

Cell lengths 5.857, 5.857, 3.566 Å; angles 90.00, 90.00, 90.00 degrees
Positions (direct):
K 0.000 0.500 0.000
K 0.500 0.000 0.000
B 0.000 0.000 0.500
H 0.000 0.000 0.000
I 0.500 0.500 0.500

Total DFT energy (no corrections) ... -63.408 eV/cell



(20)
The following is a SCAN calculation of TiBN2 at its PBEsol-relaxed geometry, from the Alexandria database.

Cell lengths 5.274, 5.274, 5.274 Å; angles 33.67, 33.67, 33.67 degrees
Positions (direct):
Ti 0.000 0.000 0.000
B 0.500 0.500 0.500
N 0.410 0.410 0.410
N 0.590 0.590 0.590

Total DFT energy (no corrections) ... -46.872 eV/cell



(21)
The following is a SCAN calculation of Y2MgSb at its PBEsol-relaxed geometry, from the Alexandria database.

Cell lengths 6.186, 6.186, 6.186 Å; angles 141.23, 135.05, 60.83 degrees
Positions (direct):
Y 0.000 0.000 0.000
Y 0.738 0.238 0.500
Mg 0.267 0.767 0.500
Sb 0.484 0.484 0.000

ΔE to the lowest computed polymorph ... 99 meV per atom



(22)
The following is a SCAN calculation of LiB3I at its PBEsol-relaxed geometry, from the Alexandria database.

Cell lengths 4.135, 4.135, 4.135 Å; angles 90.00, 90.00, 90.00 degrees
Positions (direct):
Li 0.000 0.000 0.000
B 0.000 0.000 0.500
B 0.000 0.500 0.000
B 0.500 0.000 0.000
I 0.500 0.500 0.500

Total DFT energy (no corrections) ... -50.173 eV/cell



(23)
The following is a SCAN calculation of BaAsPt2 at its PBEsol-relaxed geometry, from the Alexandria database.

Cell lengths 3.323, 3.323, 7.494 Å; angles 90.00, 90.00, 90.00 degrees
Positions (direct):
Ba 0.000 0.000 0.000
As 0.000 0.000 0.500
Pt 0.500 0.500 0.314
Pt 0.500 0.500 0.686

Formation enthalpy at 0 K ... -255 meV per atom



(24)
The following is a SCAN calculation of LaTaCo2 at its PBEsol-relaxed geometry, from the Alexandria database.

Cell lengths 3.197, 3.197, 6.830 Å; angles 90.00, 90.00, 90.00 degrees
Positions (direct):
La 0.000 0.000 0.000
Ta 0.500 0.500 0.391
Co 0.000 0.000 0.532
Co 0.500 0.500 0.732

Formation enthalpy at 0 K ... 326 meV per atom
ΔE to the lowest computed polymorph ... 149 meV per atom



(25)
The following is a SCAN calculation of ZrAgS2F at its PBEsol-relaxed geometry, from the Alexandria database.

Cell lengths 4.681, 4.681, 3.882 Å; angles 90.00, 90.00, 90.00 degrees
Positions (direct):
Zr 0.000 0.000 0.000
Ag 0.500 0.500 0.000
S 0.000 0.500 0.500
S 0.500 0.000 0.500
F 0.500 0.500 0.500

Total DFT energy (no corrections) ... -85.535 eV/cell